VASP calculation (PBE-GGA) on a relaxed La2AlAg crystal.

Cell and atoms, written as POSCAR:
```
La2AlAg
1.0
6.348 0.050 0.022
5.220 3.613 0.022
2.160 0.684 4.740
La Al Ag
2 1 1
Direct
0.987 0.987 0.013 La
0.769 0.769 0.730 La
0.209 0.209 0.291 Al
0.534 0.534 0.466 Ag
```

## Properties
calculated formation energy = -0.28 eV/atom
DFT total energy = -4.39 eV per atom
ρ = 6387 kg/m³

=====

VASP calculation (PBE-GGA) on a relaxed La3Al6Ag5 crystal.

Cell and atoms, written as POSCAR:
```
La3Al6Ag5
1.0
-2.141 -1.271 3.929
0.552 -8.985 -2.605
12.211 -1.077 6.306
Ag Al La
10 12 6
Direct
0.000 0.532 0.139 Ag
0.000 0.889 0.346 Ag
0.000 0.532 0.861 Ag
0.000 0.766 0.000 Ag
0.500 0.111 0.846 Ag
0.500 0.468 0.361 Ag
0.500 0.468 0.639 Ag
0.500 0.234 0.500 Ag
0.000 0.889 0.654 Ag
0.500 0.111 0.154 Ag
0.500 0.030 0.357 Al
0.000 0.606 0.656 Al
0.000 0.970 0.857 Al
0.500 0.394 0.156 Al
0.000 0.970 0.143 Al
0.500 0.030 0.643 Al
0.500 0.935 0.000 Al
0.000 0.065 0.500 Al
0.000 0.606 0.344 Al
0.500 0.571 0.000 Al
0.000 0.429 0.500 Al
0.500 0.394 0.844 Al
0.500 0.751 0.794 La
0.500 0.751 0.206 La
0.500 0.741 0.500 La
0.000 0.259 0.000 La
0.000 0.249 0.294 La
0.000 0.249 0.706 La
```

## Properties
calculated formation energy = -0.34 eV/atom
DFT total energy = -4.02 eV per atom
ρ = 6179 kg/m³

=====

VASP calculation (PBE-GGA) on a relaxed LaAlAg2 crystal.

Cell and atoms, written as POSCAR:
```
LaAlAg2
1.0
4.911 0.000 0.000
0.000 4.911 0.000
2.455 2.455 8.894
Al La Ag
2 2 4
Direct
0.500 0.500 0.000 Al
0.250 0.750 0.500 Al
0.000 0.000 0.000 La
0.750 0.250 0.500 La
0.256 0.625 0.250 Ag
0.375 0.506 0.750 Ag
0.494 0.125 0.250 Ag
0.875 0.744 0.750 Ag
```

## Properties
calculated formation energy = 0.00 eV/atom
DFT total energy = -3.60 eV per atom
ρ = 5909 kg/m³

=====

VASP calculation (PBE-GGA) on a relaxed LaAlAg2 crystal.

Cell and atoms, written as POSCAR:
```
LaAlAg2
1.0
5.019 -0.009 -0.002
0.030 5.019 -0.002
-2.526 -2.506 3.546
Al La Ag
1 1 2
Direct
0.500 0.500 0.000 Al
0.750 0.250 0.500 La
0.000 0.000 0.000 Ag
0.250 0.750 0.500 Ag
```

## Properties
calculated formation energy = -0.19 eV/atom
DFT total energy = -3.78 eV per atom
ρ = 7098 kg/m³

=====

VASP calculation (PBE-GGA) on a relaxed LaAl12Ag6 crystal.

Cell and atoms, written as POSCAR:
```
LaAl12Ag6
1.0
-2.537 6.863 -0.974
-6.088 -4.147 -0.480
1.633 -0.203 7.196
Al Ag La
12 6 1
Direct
0.500 0.891 0.109 Al
0.891 0.500 0.109 Al
0.385 0.140 0.385 Al
0.860 0.615 0.615 Al
0.140 0.385 0.385 Al
0.500 0.109 0.891 Al
0.615 0.860 0.615 Al
0.385 0.385 0.140 Al
0.615 0.615 0.860 Al
0.109 0.891 0.500 Al
0.891 0.109 0.500 Al
0.109 0.500 0.891 Al
0.282 0.709 0.709 Ag
0.291 0.291 0.718 Ag
0.709 0.282 0.709 Ag
0.718 0.291 0.291 Ag
0.291 0.718 0.291 Ag
0.709 0.709 0.282 Ag
0.000 0.000 0.000 La
```

## Properties
calculated formation energy = -0.02 eV/atom
DFT total energy = -3.54 eV per atom
ρ = 5071 kg/m³

=====

VASP calculation (PBE-GGA) on a relaxed La2Al5Ag5 crystal.

Cell and atoms, written as POSCAR:
```
La2Al5Ag5
1.0
4.483 0.000 0.000
0.000 5.556 0.000
0.000 0.000 9.804
Al Ag La
5 5 2
Direct
0.500 0.748 0.755 Al
0.500 0.252 0.245 Al
0.500 0.748 0.245 Al
0.500 0.252 0.755 Al
0.500 0.500 0.500 Al
0.000 0.000 0.180 Ag
0.000 0.500 0.334 Ag
0.000 0.500 0.666 Ag
0.500 0.000 0.000 Ag
0.000 0.000 0.820 Ag
0.000 0.000 0.500 La
0.000 0.500 0.000 La
```

## Properties
calculated formation energy = -0.37 eV/atom
DFT total energy = -3.93 eV per atom
ρ = 6474 kg/m³

=====

VASP calculation (PBE-GGA) on a relaxed La6AlAg3 crystal.

Cell and atoms, written as POSCAR:
```
La6AlAg3
1.0
-4.390 2.799 -0.877
-5.085 -8.198 -0.717
-0.591 2.701 11.577
Al Ag La
2 6 12
Direct
0.250 0.949 0.628 Al
0.750 0.051 0.372 Al
0.250 0.366 0.767 Ag
0.250 0.532 0.383 Ag
0.750 0.230 0.034 Ag
0.750 0.468 0.617 Ag
0.750 0.634 0.233 Ag
0.250 0.770 0.966 Ag
0.750 0.758 0.504 La
0.250 0.242 0.496 La
0.750 0.353 0.310 La
0.750 0.875 0.110 La
0.250 0.111 0.161 La
0.750 0.149 0.655 La
0.250 0.507 0.100 La
0.250 0.125 0.890 La
0.250 0.851 0.345 La
0.750 0.493 0.900 La
0.750 0.889 0.839 La
0.250 0.647 0.690 La
```

## Properties
calculated formation energy = -0.20 eV/atom
DFT total energy = -4.39 eV per atom
ρ = 6660 kg/m³

=====

VASP calculation (PBE-GGA) on a relaxed La2AlAg crystal.

Cell and atoms, written as POSCAR:
```
La2AlAg
1.0
-3.539 2.718 -2.624
-1.144 1.055 -4.937
-4.650 -4.797 -1.364
Ag La Al
1 2 1
Direct
0.750 0.750 0.750 Ag
0.000 0.000 0.004 La
0.500 0.500 0.496 La
0.250 0.250 0.250 Al
```

## Properties
calculated formation energy = -0.03 eV/atom
DFT total energy = -4.14 eV per atom
ρ = 5719 kg/m³

=====

> Which of these has the highest DFT total energy?

LaAl12Ag6